No. 1
! BaPrTe, optimized geometry, DFT GGA-PBE; values from VASP
! **Energy relative to the lowest polymorph listed for this composition**: 0 meV/atom
! **Electronic total energy**: -0.2909 Ry per atom
&SYSTEM
  ibrav = 0, nat = 3, ntyp = 3
/
ATOMIC_SPECIES
Ba 137.33 Ba.upf
Te 127.60 Te.upf
Pr 140.91 Pr.upf
CELL_PARAMETERS angstrom
-1.797 2.626 4.504
-1.297 5.353 -0.263
-5.272 1.580 0.351
ATOMIC_POSITIONS crystal
Ba 0.250 0.250 0.250
Te 0.000 0.000 0.000
Pr 0.750 0.750 0.750

No. 2
! Re2Sn, optimized geometry, DFT GGA-PBE; values from VASP
! **Energy relative to the lowest polymorph listed for this composition**: 0 meV/atom
! **Electronic total energy**: -0.6587 Ry per atom
&SYSTEM
  ibrav = 0, nat = 6, ntyp = 2
/
ATOMIC_SPECIES
Re 186.21 Re.upf
Sn 118.71 Sn.upf
CELL_PARAMETERS angstrom
0.000 3.766 3.766
3.766 0.000 3.766
3.766 3.766 0.000
ATOMIC_POSITIONS crystal
Re 0.125 0.625 0.625
Re 0.625 0.125 0.625
Re 0.625 0.625 0.125
Re 0.625 0.625 0.625
Sn 0.250 0.250 0.250
Sn 0.000 0.000 0.000

No. 3
! Na4Al2CuPt, optimized geometry, DFT GGA-PBE; values from VASP
! **Electronic total energy**: -0.2055 Ry per atom
&SYSTEM
  ibrav = 0, nat = 8, ntyp = 4
/
ATOMIC_SPECIES
Na 22.99 Na.upf
Pt 195.08 Pt.upf
Al 26.98 Al.upf
Cu 63.55 Cu.upf
CELL_PARAMETERS angstrom
4.722 0.000 0.000
0.000 4.722 0.000
0.000 0.000 6.638
ATOMIC_POSITIONS crystal
Na 0.500 0.000 0.761
Na 0.000 0.500 0.239
Na 0.500 0.500 0.000
Na 0.000 0.000 0.500
Pt 0.500 0.500 0.500
Al 0.000 0.500 0.727
Al 0.500 0.000 0.273
Cu 0.000 0.000 0.000

No. 4
! LiLaCoS3, optimized geometry, DFT GGA-PBE; values from VASP
! **Electronic total energy**: -0.4090 Ry per atom
&SYSTEM
  ibrav = 0, nat = 12, ntyp = 4
/
ATOMIC_SPECIES
Li 6.94 Li.upf
S 32.06 S.upf
Co 58.93 Co.upf
La 138.91 La.upf
CELL_PARAMETERS angstrom
5.326 -1.970 0.000
5.326 1.970 0.000
0.000 0.000 11.471
ATOMIC_POSITIONS crystal
Li 0.774 0.774 0.250
Li 0.226 0.226 0.750
S 0.339 0.339 0.400
S 0.661 0.661 0.600
S 0.062 0.062 0.250
S 0.938 0.938 0.750
S 0.661 0.661 0.900
S 0.339 0.339 0.100
Co 0.526 0.526 0.750
Co 0.474 0.474 0.250
La 0.000 0.000 0.000
La 0.000 0.000 0.500